1.
A geometry-optimized YTmZnCo2 structure. Source: OQMD, functional PBE.

Values from the calculation:
calculated total energy	-5.595	eV per atom
magnetic moment	0.023	μB/atom

The structure in CIF format:
```
data_YTmZnCo2
_chemical_formula_sum 'Y2 Tm2 Zn2 Co4'
_cell_length_a 4.053
_cell_length_b 5.440
_cell_length_c 8.126
_cell_angle_alpha 90.00
_cell_angle_beta 90.00
_cell_angle_gamma 90.00
_symmetry_space_group_name_H-M 'I m m 2'
_symmetry_Int_Tables_number 44
loop_
_symmetry_equiv_pos_as_xyz
'x,y,z'
'-x,-y,z'
'-x,y,z'
'x,-y,z'
'x+1/2,y+1/2,z+1/2'
'-x+1/2,-y+1/2,z+1/2'
'-x+1/2,y+1/2,z+1/2'
'x+1/2,-y+1/2,z+1/2'
loop_
_atom_site_label
_atom_site_fract_x
_atom_site_fract_y
_atom_site_fract_z
_atom_site_occupancy
Y1 0.000 0.000 0.000 1
Tm1 0.000 0.000 0.586 1
Zn1 0.000 0.500 0.793 1
Co1 0.000 0.289 0.292 1
```

2.
A geometry-optimized WN structure. Source: OQMD, functional PBE.

Values from the calculation:
calculated total energy	-10.502	eV per atom
magnetic moment	0.000	μB/atom

The structure in CIF format:
```
data_WN
_chemical_formula_sum 'W4 N4'
_cell_length_a 5.578
_cell_length_b 3.393
_cell_length_c 4.837
_cell_angle_alpha 90.00
_cell_angle_beta 90.00
_cell_angle_gamma 90.00
_symmetry_space_group_name_H-M 'P m m a'
_symmetry_Int_Tables_number 51
loop_
_symmetry_equiv_pos_as_xyz
'x,y,z'
'-x,-y,-z'
'-x+1/2,-y,z'
'x+1/2,y,-z'
'x+1/2,-y,-z'
'-x+1/2,y,z'
'-x,y,-z'
'x,-y,z'
loop_
_atom_site_label
_atom_site_fract_x
_atom_site_fract_y
_atom_site_fract_z
_atom_site_occupancy
W1 0.000 0.000 0.000 1
W2 0.250 0.500 0.463 1
N1 0.250 0.000 0.663 1
N2 0.250 0.500 0.059 1
```